# 1
# Ac3Pm5Y3

Crystalline Ac3Pm5Y3 at its relaxed geometry (GGA-PBE, Alexandria via LeMat-Bulk). Values from VASP.

Structure (Quantum ESPRESSO input):
```
&SYSTEM
  ibrav = 0, nat = 11, ntyp = 3
/
ATOMIC_SPECIES
Ac 227.00 Ac.upf
Pm 145.00 Pm.upf
Y 88.91 Y.upf
CELL_PARAMETERS angstrom
-1.390 -5.889 -0.924
3.540 0.573 -8.978
5.785 -2.515 7.326
ATOMIC_POSITIONS crystal
Ac 0.000 0.583 0.000
Ac 0.000 0.000 0.583
Ac 0.000 0.417 0.417
Pm 0.500 0.333 0.667
Pm 0.500 0.667 0.333
Pm 0.500 0.384 0.000
Pm 0.500 0.616 0.616
Pm 0.500 0.000 0.384
Y 0.500 0.753 0.000
Y 0.500 0.247 0.247
Y 0.500 0.000 0.753
```

Properties
Electronic total energy = -4.35 eV/atom
Energy relative to the elements = 689 meV/atom

***

# 2
# Cs4Nd3ErO8

Crystalline Cs4Nd3ErO8 at its relaxed geometry (GGA-PBE, Alexandria via LeMat-Bulk). Values from VASP.

Structure (Quantum ESPRESSO input):
```
&SYSTEM
  ibrav = 0, nat = 16, ntyp = 4
/
ATOMIC_SPECIES
Nd 144.24 Nd.upf
O 16.00 O.upf
Cs 132.91 Cs.upf
Er 167.26 Er.upf
CELL_PARAMETERS angstrom
-5.468 4.223 -2.434
-3.544 -0.384 7.296
6.895 2.463 -0.195
ATOMIC_POSITIONS crystal
Nd 0.500 0.500 0.500
Nd 0.000 0.500 0.500
Nd 0.500 0.500 0.000
O 0.217 0.667 0.950
O 0.783 0.333 0.050
O 0.723 0.669 0.446
O 0.277 0.331 0.554
O 0.266 0.333 0.050
O 0.734 0.667 0.950
O 0.217 0.667 0.434
O 0.783 0.333 0.566
Cs 0.500 0.000 0.500
Cs 0.000 0.000 0.500
Cs 0.500 0.000 0.000
Cs 0.000 0.000 0.000
Er 0.000 0.500 0.000
```

Properties
Formation energy without anion corrections = -2.53 eV/atom
Electronic total energy = -6.40 eV/atom

***

# 3
# MgGeTe2N

Crystalline MgGeTe2N at its relaxed geometry (GGA-PBE, Alexandria via LeMat-Bulk). Values from VASP.

Structure (Quantum ESPRESSO input):
```
&SYSTEM
  ibrav = 0, nat = 5, ntyp = 4
/
ATOMIC_SPECIES
Ge 72.64 Ge.upf
N 14.01 N.upf
Mg 24.30 Mg.upf
Te 127.60 Te.upf
CELL_PARAMETERS angstrom
5.666 0.000 0.000
0.000 5.666 0.000
0.000 0.000 3.904
ATOMIC_POSITIONS crystal
Ge 0.500 0.500 0.500
N 0.000 0.000 0.500
Mg 0.000 0.000 0.000
Te 0.500 0.000 0.000
Te 0.000 0.500 0.000
```

Properties
Formation energy without anion corrections = 0.66 eV/atom
Electronic total energy = -3.50 eV/atom
Relative energy among the computed polymorphs = 1.35 eV/f.u.

***

# 4
# ZrTlBr

Crystalline ZrTlBr at its relaxed geometry (GGA-PBE, Alexandria via LeMat-Bulk). Values from VASP.

Structure (Quantum ESPRESSO input):
```
&SYSTEM
  ibrav = 0, nat = 3, ntyp = 3
/
ATOMIC_SPECIES
Zr 91.22 Zr.upf
Br 79.90 Br.upf
Tl 204.38 Tl.upf
CELL_PARAMETERS angstrom
-5.245 -6.616 3.424
-3.148 -8.111 1.147
0.691 -0.152 3.364
ATOMIC_POSITIONS crystal
Zr 0.658 0.658 0.342
Br 0.036 0.036 0.964
Tl 0.306 0.306 0.694
```

Properties
Formation energy without anion corrections = -0.29 eV/atom
Electronic total energy = -4.48 eV/atom
Relative energy among the computed polymorphs = 0.55 eV/f.u.

***

# 5
# BiRhSe2

Crystalline BiRhSe2 at its relaxed geometry (GGA-PBE, Alexandria via LeMat-Bulk). Values from VASP.

Structure (Quantum ESPRESSO input):
```
&SYSTEM
  ibrav = 0, nat = 8, ntyp = 3
/
ATOMIC_SPECIES
Bi 208.98 Bi.upf
Se 78.96 Se.upf
Rh 102.91 Rh.upf
CELL_PARAMETERS angstrom
9.603 -0.001 0.094
0.001 3.774 0.000
-1.199 0.000 5.186
ATOMIC_POSITIONS crystal
Bi 0.123 0.699 0.334
Bi 0.658 0.699 0.807
Se 0.770 0.200 0.326
Se 0.314 0.199 0.617
Se 0.023 0.200 0.847
Se 0.443 0.700 0.146
Rh 0.904 0.700 0.589
Rh 0.526 0.200 0.430
```

Properties
Formation energy without anion corrections = -0.29 eV/atom
Electronic total energy = -4.84 eV/atom

***

# 6
# Na2InHgCl6

Crystalline Na2InHgCl6 at its relaxed geometry (GGA-PBE, Alexandria via LeMat-Bulk). Values from VASP.

Structure (Quantum ESPRESSO input):
```
&SYSTEM
  ibrav = 0, nat = 10, ntyp = 4
/
ATOMIC_SPECIES
Cl 35.45 Cl.upf
In 114.82 In.upf
Na 22.99 Na.upf
Hg 200.59 Hg.upf
CELL_PARAMETERS angstrom
-0.385 -4.921 5.031
3.331 -6.156 -0.828
6.190 -1.249 4.189
ATOMIC_POSITIONS crystal
Cl 0.125 0.405 0.769
Cl 0.961 0.572 0.238
Cl 0.572 0.229 0.238
Cl 0.701 0.125 0.769
Cl 0.405 0.701 0.769
Cl 0.229 0.961 0.238
In 0.325 0.325 0.025
Na 0.523 0.523 0.432
Na 0.009 0.009 0.972
Hg 0.811 0.812 0.566
```

Properties
Formation energy without anion corrections = -1.18 eV/atom
Electronic total energy = -2.86 eV/atom

***

# 7
# FeCo

Crystalline FeCo at its relaxed geometry (GGA-PBE, Alexandria via LeMat-Bulk). Values from VASP.

Structure (Quantum ESPRESSO input):
```
&SYSTEM
  ibrav = 0, nat = 8, ntyp = 2
/
ATOMIC_SPECIES
Co 58.93 Co.upf
Fe 55.84 Fe.upf
CELL_PARAMETERS angstrom
-1.294 2.059 -3.187
-1.423 -4.215 -2.145
-4.410 -0.298 1.599
ATOMIC_POSITIONS crystal
Co 0.500 0.624 0.747
Co 0.000 0.746 0.005
Co 0.500 0.376 0.253
Co 0.000 0.254 0.995
Fe 0.000 0.000 0.500
Fe 0.500 0.124 0.751
Fe 0.000 0.500 0.500
Fe 0.500 0.876 0.249
```

Properties
Electronic total energy = -7.80 eV/atom
Energy relative to the elements = -15 meV/atom

***

# 8
# Dy3Er2Tm5

Crystalline Dy3Er2Tm5 at its relaxed geometry (GGA-PBE, Alexandria via LeMat-Bulk). Values from VASP.

Structure (Quantum ESPRESSO input):
```
&SYSTEM
  ibrav = 0, nat = 20, ntyp = 3
/
ATOMIC_SPECIES
Dy 162.50 Dy.upf
Tm 168.93 Tm.upf
Er 167.26 Er.upf
CELL_PARAMETERS angstrom
8.337 1.633 -3.915
0.315 8.453 -3.981
-1.795 -2.002 10.607
ATOMIC_POSITIONS crystal
Dy 0.768 0.018 0.036
Dy 0.024 0.778 0.255
Dy 0.731 0.477 0.255
Dy 0.976 0.222 0.745
Dy 0.269 0.523 0.745
Dy 0.232 0.982 0.964
Tm 0.141 0.391 0.272
Tm 0.973 0.223 0.446
Tm 0.631 0.881 0.272
Tm 0.859 0.609 0.728
Tm 0.528 0.278 0.556
Tm 0.729 0.479 0.959
Tm 0.027 0.777 0.554
Tm 0.472 0.722 0.444
Tm 0.369 0.119 0.728
Tm 0.271 0.521 0.041
Er 0.771 0.017 0.740
Er 0.469 0.723 0.740
Er 0.229 0.983 0.260
Er 0.531 0.277 0.260
```

Properties
Electronic total energy = -4.32 eV/atom
Energy relative to the elements = 204 meV/atom
Relative energy among the computed polymorphs = 0.00 eV/f.u.

***

What did the fourth record say?
# ZrTlBr

Crystalline ZrTlBr at its relaxed geometry (GGA-PBE, Alexandria via LeMat-Bulk). Values from VASP.

Structure (Quantum ESPRESSO input):
```
&SYSTEM
  ibrav = 0, nat = 3, ntyp = 3
/
ATOMIC_SPECIES
Zr 91.22 Zr.upf
Br 79.90 Br.upf
Tl 204.38 Tl.upf
CELL_PARAMETERS angstrom
-5.245 -6.616 3.424
-3.148 -8.111 1.147
0.691 -0.152 3.364
ATOMIC_POSITIONS crystal
Zr 0.658 0.658 0.342
Br 0.036 0.036 0.964
Tl 0.306 0.306 0.694
```

Properties
Formation energy without anion corrections = -0.29 eV/atom
Electronic total energy = -4.48 eV/atom
Relative energy among the computed polymorphs = 0.55 eV/f.u.

***

- Number 6 is which compound?
  Na2InHgCl6

***

- What is the electronic total energy in the second record?
  -6.40 eV/atom